Density functional theory data (PBE-GGA) for a relaxed structure of Cs2KSrCl.

Unit cell a=7.541 b=7.541 c=5.917 alpha=90.00 beta=90.00 gamma=90.00
Sites, in units of the cell vectors:
Cs (0.000, 0.500, 0.000)
Cs (0.500, 0.000, 0.000)
K (0.000, 0.000, 0.500)
Sr (0.500, 0.500, 0.500)
Cl (0.500, 0.500, 0.000)

For the energy above the most stable polymorph in this dataset, the calculation gives 0.000 eV/atom. As for the uncorrected formation energy: -649 meV per atom. As for the calculated density: 2112 kg/m3. Its space group is P4/mmm. The total magnetization comes out at 0.000 μB/cell.